{"formula": "Ba4TeI3", "functional": "PBE", "state": "optimized geometry", "lattice_angstrom": [[4.9427, 0.0000, 0.7546], [2.4137, 4.3133, 0.7546], [0.0234, 0.0137, 16.4104]], "species": ["I", "I", "I", "Te", "Ba", "Ba", "Ba", "Ba"], "fractional_positions": [[0.7503, 0.7503, 0.7492], [0.5000, 0.5000, 0.5000], [0.2497, 0.2497, 0.2508], [0.0000, 0.0000, 0.0000], [0.6278, 0.6278, 0.1167], [0.8727, 0.8727, 0.3818], [0.3722, 0.3722, 0.8833], [0.1273, 0.1273, 0.6182]], "dos_at_fermi_per_ev_atom": 0.74, "crystal_system": "trigonal", "raw_formation_energy_ev_per_fu": -11.41, "vol_a3_per_fu": 350, "m_tot_mub_per_cell": 0.00, "space_group": "R-3m, No. 166"}

{"formula": "Ba4Te2I5", "functional": "PBE", "state": "optimized geometry", "lattice_angstrom": [[5.2513, 0.0041, -1.1561], [-0.6801, 11.6608, -3.1203], [-0.3918, -0.7860, 10.7201]], "species": ["Ba", "Ba", "Ba", "Ba", "Te", "Te", "I", "I", "I", "I", "I"], "fractional_positions": [[0.6585, 0.5831, 0.3171], [0.0161, 0.7973, 0.0321], [0.3415, 0.4169, 0.6829], [0.9839, 0.2027, 0.9679], [0.5029, 0.6308, 0.0049], [0.4971, 0.3692, 0.9951], [0.1811, 0.7832, 0.3637], [0.8189, 0.2168, 0.6363], [0.1655, 0.3840, 0.3298], [0.5000, 0.0000, 0.0000], [0.8345, 0.6160, 0.6702]], "dos_at_fermi_per_ev_atom": 0.25, "crystal_system": "triclinic", "raw_formation_energy_ev_per_fu": -17.47, "vol_a3_per_fu": 638, "m_tot_mub_per_cell": 0.00, "space_group": "P-1, No. 2"}

{"formula": "Ba3TeI3", "functional": "PBE", "state": "optimized geometry", "lattice_angstrom": [[9.2720, 1.3335, 3.4197], [2.9856, 8.8789, 3.4197], [1.5968, 1.3304, 9.7904]], "species": ["Ba", "Ba", "Ba", "Ba", "Ba", "Ba", "Te", "Te", "I", "I", "I", "I", "I", "I"], "fractional_positions": [[0.9956, 0.9956, 0.7539], [0.5001, 0.9999, 0.2355], [0.9999, 0.5001, 0.2355], [0.4999, 0.0001, 0.7645], [0.0001, 0.4999, 0.7645], [0.0044, 0.0044, 0.2461], [0.2450, 0.2450, 0.0051], [0.7550, 0.7550, 0.9949], [0.2492, 0.2492, 0.5007], [0.2523, 0.7477, 0.5000], [0.7477, 0.2523, 0.5000], [0.2515, 0.7485, 0.0000], [0.7485, 0.2515, 0.0000], [0.7508, 0.7508, 0.4993]], "dos_at_fermi_per_ev_atom": 0.47, "crystal_system": "monoclinic", "raw_formation_energy_ev_per_fu": -11.31, "vol_a3_per_fu": 349, "m_tot_mub_per_cell": 0.00, "space_group": "C2/m, No. 12", "e_above_lowest_polymorph_ev_per_atom": 0.000}

{"formula": "BaTe2I2", "functional": "PBE", "state": "optimized geometry", "lattice_angstrom": [[-0.8015, -3.5127, 2.3107], [1.0679, -2.4452, -3.3468], [12.4204, -3.1306, 3.5132]], "species": ["I", "I", "Te", "Te", "Ba"], "fractional_positions": [[0.4237, 0.4237, 0.1526], [0.5763, 0.5763, 0.8474], [0.7500, 0.2500, 0.5000], [0.2500, 0.7500, 0.5000], [0.0000, 0.0000, 0.0000]], "dos_at_fermi_per_ev_atom": 0.29, "crystal_system": "tetragonal", "raw_formation_energy_ev_per_fu": -4.66, "vol_a3_per_fu": 237, "m_tot_mub_per_cell": 0.00, "space_group": "I4/mmm, No. 139", "e_above_lowest_polymorph_ev_per_atom": 0.000}

{"formula": "BaTe3I", "functional": "PBE", "state": "optimized geometry", "lattice_angstrom": [[-0.9796, 6.5547, 1.5112], [-1.6470, -1.7144, 6.3684], [6.5219, 0.5516, 1.8352]], "species": ["I", "Te", "Te", "Te", "Ba"], "fractional_positions": [[0.5000, 0.5000, 0.5000], [0.0000, 0.5000, 0.0000], [0.0000, 0.0000, 0.5000], [0.5000, 0.0000, 0.0000], [0.0000, 0.0000, 0.0000]], "dos_at_fermi_per_ev_atom": 0.99, "crystal_system": "cubic", "raw_formation_energy_ev_per_fu": 1.32, "vol_a3_per_fu": 314, "m_tot_mub_per_cell": 5.00, "space_group": "Pm-3m, No. 221", "e_above_lowest_polymorph_ev_per_atom": 0.518}

{"formula": "BaTeI", "functional": "PBE", "state": "optimized geometry", "lattice_angstrom": [[-2.5071, 2.7380, -3.1445], [-2.5880, -3.8987, -1.3313], [-13.5857, 4.1005, 14.4022]], "species": ["I", "I", "I", "I", "Te", "Te", "Te", "Te", "Ba", "Ba", "Ba", "Ba"], "fractional_positions": [[0.0000, 0.0000, 0.1873], [0.0000, 0.0000, 0.8127], [0.5000, 0.5000, 0.6873], [0.5000, 0.5000, 0.3127], [0.0000, 0.5000, 0.0000], [0.5000, 0.0000, 0.0000], [0.5000, 0.0000, 0.5000], [0.0000, 0.5000, 0.5000], [0.0000, 0.0000, 0.3729], [0.0000, 0.0000, 0.6271], [0.5000, 0.5000, 0.8729], [0.5000, 0.5000, 0.1271]], "dos_at_fermi_per_ev_atom": 0.34, "crystal_system": "tetragonal", "raw_formation_energy_ev_per_fu": -4.41, "vol_a3_per_fu": 120, "m_tot_mub_per_cell": 0.00, "space_group": "I4/mmm, No. 139", "e_above_lowest_polymorph_ev_per_atom": 0.017}

{"formula": "Ba2TeI2", "functional": "PBE", "state": "optimized geometry", "lattice_angstrom": [[8.6829, 0.0000, 1.8061], [0.0000, 9.8695, 0.0000], [1.5080, 0.0000, 12.6130]], "species": ["Ba", "Ba", "Ba", "Ba", "Ba", "Ba", "Ba", "Ba", "Te", "Te", "Te", "Te", "I", "I", "I", "I", "I", "I", "I", "I"], "fractional_positions": [[0.7610, 0.1221, 0.1560], [0.2610, 0.3779, 0.1560], [0.7390, 0.6221, 0.8440], [0.2390, 0.8779, 0.8440], [0.7274, 0.3793, 0.5009], [0.2274, 0.1207, 0.5009], [0.7726, 0.8793, 0.4991], [0.2726, 0.6207, 0.4991], [0.4847, 0.3541, 0.3359], [0.5153, 0.6459, 0.6641], [0.9847, 0.1459, 0.3359], [0.0153, 0.8541, 0.6641], [0.6242, 0.2953, 0.9647], [0.1242, 0.2047, 0.9647], [0.8758, 0.7953, 0.0353], [0.3758, 0.7047, 0.0353], [0.0032, 0.6157, 0.3398], [0.5032, 0.8843, 0.3398], [0.4968, 0.1157, 0.6602], [0.9968, 0.3843, 0.6602]], "dos_at_fermi_per_ev_atom": 0.00, "crystal_system": "monoclinic", "raw_formation_energy_ev_per_fu": -8.62, "vol_a3_per_fu": 264, "m_tot_mub_per_cell": 0.00, "space_group": "P2_1/c, No. 14"}

{"formula": "Ba3TeI3", "functional": "PBE", "state": "optimized geometry", "lattice_angstrom": [[-2.4276, -3.8447, -7.5827], [4.9817, -6.4123, -3.4983], [-5.0506, -11.1826, 2.1323]], "species": ["Ba", "Ba", "Ba", "Ba", "Ba", "Ba", "Te", "Te", "I", "I", "I", "I", "I", "I"], "fractional_positions": [[0.2741, 0.6091, 0.1752], [0.9416, 0.2741, 0.1752], [0.6091, 0.9416, 0.1752], [0.3909, 0.0584, 0.8248], [0.0584, 0.7259, 0.8248], [0.7259, 0.3909, 0.8248], [0.3333, 0.3333, 0.0000], [0.6667, 0.6667, 0.0000], [0.4446, 0.7787, 0.6650], [0.7787, 0.1117, 0.6650], [0.1117, 0.4446, 0.6650], [0.8883, 0.5554, 0.3350], [0.2213, 0.8883, 0.3350], [0.5554, 0.2213, 0.3350]], "dos_at_fermi_per_ev_atom": 0.07, "crystal_system": "trigonal", "raw_formation_energy_ev_per_fu": -11.19, "vol_a3_per_fu": 385, "m_tot_mub_per_cell": 0.00, "space_group": "R-3, No. 148", "e_above_lowest_polymorph_ev_per_atom": 0.018}

{"formula": "Ba5TeI5", "functional": "PBE", "state": "optimized geometry", "lattice_angstrom": [[-3.9317, 2.3232, -5.3084], [7.3527, -3.6047, -2.4048], [-6.4700, -7.3783, 1.5629]], "species": ["Ba", "Ba", "Ba", "Ba", "Ba", "Te", "I", "I", "I", "I", "I"], "fractional_positions": [[0.8346, 0.6693, 0.1555], [0.8405, 0.6810, 0.6788], [0.5000, 0.0000, 0.0000], [0.1595, 0.3190, 0.3212], [0.1654, 0.3307, 0.8445], [0.0000, 0.0000, 0.0000], [0.6676, 0.3353, 0.3396], [0.6604, 0.3208, 0.8184], [0.0000, 0.0000, 0.5000], [0.3396, 0.6792, 0.1816], [0.3324, 0.6647, 0.6604]], "dos_at_fermi_per_ev_atom": 0.42, "crystal_system": "monoclinic", "raw_formation_energy_ev_per_fu": -16.77, "vol_a3_per_fu": 513, "m_tot_mub_per_cell": 0.00, "space_group": "C2/m, No. 12"}

{"formula": "BaTeI", "functional": "PBE", "state": "optimized geometry", "lattice_angstrom": [[4.8632, 0.0000, 0.0000], [0.0000, 4.8632, 0.0000], [0.0000, 0.0000, 10.1220]], "species": ["I", "I", "Te", "Te", "Ba", "Ba"], "fractional_positions": [[0.0000, 0.5000, 0.6265], [0.5000, 0.0000, 0.3735], [0.0000, 0.0000, 0.0000], [0.5000, 0.5000, 0.0000], [0.0000, 0.5000, 0.2549], [0.5000, 0.0000, 0.7451]], "dos_at_fermi_per_ev_atom": 0.11, "crystal_system": "tetragonal", "raw_formation_energy_ev_per_fu": -4.43, "vol_a3_per_fu": 120, "m_tot_mub_per_cell": 0.00, "space_group": "P4/nmm, No. 129", "e_above_lowest_polymorph_ev_per_atom": 0.010}

{"formula": "Ba4Te2I3", "functional": "PBE", "state": "optimized geometry", "lattice_angstrom": [[-3.2960, 3.7767, -0.5655], [-0.6165, -4.2928, -2.5765], [-10.9069, -7.2899, 14.7793]], "species": ["Ba", "Ba", "Ba", "Ba", "Te", "Te", "I", "I", "I"], "fractional_positions": [[0.3335, 0.6665, 0.8933], [0.9995, 0.0005, 0.3056], [0.0005, 0.9995, 0.6944], [0.6665, 0.3335, 0.1067], [0.6670, 0.3330, 0.7976], [0.3330, 0.6670, 0.2024], [0.6661, 0.3339, 0.4001], [0.0000, 0.0000, 0.0000], [0.3339, 0.6661, 0.5999]], "dos_at_fermi_per_ev_atom": 0.27, "crystal_system": "monoclinic", "raw_formation_energy_ev_per_fu": -15.10, "vol_a3_per_fu": 436, "m_tot_mub_per_cell": 0.00, "space_group": "C2/m, No. 12"}

{"formula": "Ba9Te2I14", "functional": "PBE", "state": "optimized geometry", "lattice_angstrom": [[10.2658, 0.0000, 0.0000], [-5.1329, 8.8904, 0.0000], [0.0000, 0.0000, 14.1642]], "species": ["Ba", "Ba", "Ba", "Ba", "Ba", "Ba", "Ba", "Ba", "Ba", "Te", "Te", "I", "I", "I", "I", "I", "I", "I", "I", "I", "I", "I", "I", "I", "I"], "fractional_positions": [[0.2919, 0.9448, 0.3429], [0.0552, 0.3471, 0.3429], [0.3333, 0.6667, 0.0256], [0.0000, 0.0000, 0.0000], [0.3471, 0.2919, 0.6571], [0.6529, 0.7081, 0.3429], [0.6667, 0.3333, 0.9744], [0.9448, 0.6529, 0.6571], [0.7081, 0.0552, 0.6571], [0.3333, 0.6667, 0.2591], [0.6667, 0.3333, 0.7409], [0.0359, 0.6825, 0.9070], [0.3179, 0.9333, 0.5942], [0.0667, 0.3846, 0.5942], [0.0000, 0.0000, 0.2561], [0.0000, 0.0000, 0.7439], [0.3175, 0.3534, 0.9070], [0.6466, 0.9641, 0.9070], [0.3846, 0.3179, 0.4058], [0.6154, 0.6821, 0.5942], [0.3534, 0.0359, 0.0930], [0.6825, 0.6466, 0.0930], [0.9333, 0.6154, 0.4058], [0.6821, 0.0667, 0.4058], [0.9641, 0.3175, 0.0930]], "dos_at_fermi_per_ev_atom": 0.00, "crystal_system": "trigonal", "raw_formation_energy_ev_per_fu": -43.93, "vol_a3_per_fu": 1293, "m_tot_mub_per_cell": 0.10, "space_group": "P-3, No. 147"}